Entry from Alexandria: a relaxed structure of La3Tl3Zn (PBE).

The structure in extended XYZ format:
```
14
Lattice="-2.005 -0.234 -4.399 -0.243 -5.938 -2.236 -14.413 -2.422 4.035" Properties=species:S:1:pos:R:3 pbc="T T T"
La -9.964 -3.380 -0.604
La -6.698 -5.215 -1.995
La -3.856 -2.129 -0.792
La -12.806 -6.466 -1.807
La -14.116 -3.903 1.316
La -2.546 -4.691 -3.915
Tl -9.746 -5.895 -3.232
Tl -6.915 -2.700 0.633
Tl -13.783 -7.174 1.338
Tl -2.879 -1.420 -3.938
Tl -5.581 -5.682 -5.142
Tl -11.081 -2.913 2.543
Zn -7.132 -1.717 -1.983
Zn -9.529 -6.878 -0.616
```

Values from the calculation:
* energy relative to the elements: -2.59 eV/f.u.
* magnetization: 0.0 μB per cell
* uncorrected energy: -51.5 eV per cell